Record 1
Material: BaZrP2Se8
Method: DFT, PBE-GGA
State: relaxed

Values from the calculation:
- calculated volume (Å³/cell) = 328.8
- raw total energy (eV/atom) = -4.7567
- E_form (uncorrected) (meV/atom) = -659

Cell lengths 6.4106, 6.4106, 9.2380 Å; angles 90.00, 90.00, 120.00 degrees
Space group P-3 (No. 147)
Asymmetric unit:
Ba 0.0000 0.0000 0.0000
Zr 0.0000 0.0000 0.5000
P 0.3333 0.6667 0.7429
Se 0.0130 0.6679 0.3254
Se 0.3333 0.6667 0.9777

Record 2
Material: Ba2SiP
Method: DFT, PBE-GGA
State: relaxed

Values from the calculation:
- calculated volume (Å³/cell) = 261.3
- raw total energy (eV/atom) = -4.2958
- E_form (uncorrected) (meV/atom) = -626

Cell lengths 11.729, 4.388, 5.149 Å; angles 90.00, 99.67, 90.00 degrees
Space group Cm (No. 8)
Asymmetric unit:
Ba 0.000 0.000 0.000
Ba 0.236 0.500 0.563
Si 0.446 0.000 0.448
P 0.290 0.000 0.121

Record 3
Material: Ba2SiP
Method: DFT, PBE-GGA
State: relaxed

Values from the calculation:
- calculated volume (Å³/cell) = 251.5
- raw total energy (eV/atom) = -4.2539
- E_form (uncorrected) (meV/atom) = -584

Cell lengths 4.432, 4.884, 11.617 Å; angles 90.00, 90.00, 90.00 degrees
Space group Amm2 (No. 38)
Asymmetric unit:
Ba 0.000 0.000 0.000
Ba 0.500 0.000 0.281
Si 0.500 0.000 0.592
P 0.000 0.000 0.693

Record 4
Material: Ba4SiP4
Method: DFT, PBE-GGA
State: relaxed

Values from the calculation:
- calculated volume (Å³/cell) = 567.7
- raw total energy (eV/atom) = -4.8019
- E_form (uncorrected) (meV/atom) = -940

Cell lengths 9.199, 9.199, 6.709 Å; angles 90.00, 90.00, 90.00 degrees
Space group P4_2/nmc (No. 137, origin choice 2)
Asymmetric unit:
Ba 0.019 0.250 0.071
Si 0.250 0.750 0.250
P 0.039 0.750 0.440